No. 1
Sc2PdPt: relaxed, GGA-PBE.

The energy of formation comes out at -1.086 eV per atom.

It has space group P4/mmm (No. 123), with a = 4.711 Å, b = 4.711 Å, c = 3.245 Å, α = 90.00°, β = 90.00° and γ = 90.00°. Symmetry generates all atoms from Sc at (0.000, 0.500, 0.000), Pd at (0.000, 0.000, 0.500) and Pt at (0.500, 0.500, 0.500).


No. 2
Hg2PtPb: relaxed, GGA-PBE.

The energy of formation comes out at 0.134 eV per atom.

It has space group R-3m (No. 166, hexagonal axes), with a = 3.2701 Å, b = 3.2701 Å, c = 30.1286 Å, α = 90.00°, β = 90.00° and γ = 120.00°. Symmetry generates all atoms from Hg at (0.0000, 0.0000, 0.2376), Pt at (0.0000, 0.0000, 0.5000) and Pb at (0.0000, 0.0000, 0.0000).


No. 3
Re3SnRh: relaxed, GGA-PBE.

The energy of formation comes out at 2.102 eV per atom.

It has space group Pm-3m (No. 221), with a = 4.711 Å, b = 4.711 Å, c = 4.711 Å, α = 90.00°, β = 90.00° and γ = 90.00°. Symmetry generates all atoms from Re at (0.000, 0.000, 0.500), Sn at (0.500, 0.500, 0.500) and Rh at (0.000, 0.000, 0.000).


No. 4
ScPd6Pt: relaxed, GGA-PBE.

The energy of formation comes out at 0.174 eV per atom.

It has space group R-3m (No. 166, hexagonal axes), with a = 5.2291 Å, b = 5.2291 Å, c = 20.9286 Å, α = 90.00°, β = 90.00° and γ = 120.00°. Symmetry generates all atoms from Sc at (0.0000, 0.0000, 0.0000), Pd at (0.0031, 0.5016, 0.4360) and Pt at (0.0000, 0.0000, 0.5000).


No. 5
Cs3SnN8: relaxed, GGA-PBE.

The calculation puts the uncorrected formation energy at 10.51 kJ per mole of atoms.

It has space group I4/mmm (No. 139), with a = 8.128 Å, b = 8.128 Å, c = 9.988 Å, α = 90.00°, β = 90.00° and γ = 90.00°. Symmetry generates all atoms from Cs at (0.000, 0.000, 0.000), Cs at (0.000, 0.500, 0.250), Sn at (0.000, 0.000, 0.500) and N at (0.229, 0.229, 0.441).


No. 6
Y2Ge2Pd5: relaxed, GGA-PBE.

The energy of formation comes out at -0.841 eV per atom.

It has space group P4/mmm (No. 123), with a = 4.224 Å, b = 4.224 Å, c = 9.151 Å, α = 90.00°, β = 90.00° and γ = 90.00°. Symmetry generates all atoms from Y at (0.000, 0.000, 0.000), Y at (0.000, 0.000, 0.500), Ge at (0.500, 0.500, 0.134), Pd at (0.000, 0.500, 0.276) and Pd at (0.500, 0.500, 0.500).


No. 7
Cd4SnHg: relaxed, GGA-PBE.

The energy of formation comes out at 0.041 eV per atom.

It has space group P2_1/m (No. 11), with a = 6.024 Å, b = 6.078 Å, c = 8.433 Å, α = 90.00°, β = 107.29° and γ = 90.00°. Symmetry generates all atoms from Cd at (0.170, 0.250, 0.469), Cd at (0.258, 0.502, 0.176), Cd at (0.263, 0.750, 0.859), Sn at (0.227, 0.250, 0.836) and Hg at (0.320, 0.750, 0.516).


No. 8
ZnSi2Br: relaxed, GGA-PBE.

The calculation puts the uncorrected formation energy at 62.03 kJ per mole of atoms.

It has space group I-4m2 (No. 119), with a = 4.653 Å, b = 4.653 Å, c = 7.007 Å, α = 90.00°, β = 90.00° and γ = 90.00°. Symmetry generates all atoms from Zn at (0.000, 0.000, 0.000), Si at (0.000, 0.000, 0.500), Si at (0.000, 0.500, 0.250) and Br at (0.000, 0.500, 0.750).


No. 9
Tb2TmAl2Zn2: relaxed, GGA-PBE.

The energy of formation comes out at -0.309 eV per atom.

It has space group R-3m (No. 166, hexagonal axes), with a = 4.4902 Å, b = 4.4902 Å, c = 27.1316 Å, α = 90.00°, β = 90.00° and γ = 120.00°. Symmetry generates all atoms from Tb at (0.0000, 0.0000, 0.1265), Tm at (0.0000, 0.0000, 0.0000), Al at (0.0000, 0.0000, 0.2663) and Zn at (0.0000, 0.0000, 0.3947).


No. 10
CdCuBr2: relaxed, GGA-PBE.

The calculation puts the uncorrected formation energy at -17.73 kJ per mole of atoms.

It has space group C2/m (No. 12), with a = 7.770 Å, b = 3.747 Å, c = 8.009 Å, α = 90.00°, β = 115.83° and γ = 90.00°. Symmetry generates all atoms from Cd at (0.000, 0.000, 0.000), Cu at (0.000, 0.500, 0.500) and Br at (0.203, 0.000, 0.706).


No. 11
ZrVBr: relaxed, GGA-PBE.

The calculation puts the uncorrected formation energy at -11.70 kJ per mole of atoms.

It has space group Pm (No. 6), with a = 5.921 Å, b = 3.447 Å, c = 6.741 Å, α = 90.00°, β = 100.87° and γ = 90.00°. Symmetry generates all atoms from Zr at (0.000, 0.000, 0.000), Zr at (0.470, 0.500, 0.014), V at (0.140, 0.500, 0.309), V at (0.419, 0.000, 0.317), Br at (0.089, 0.500, 0.694) and Br at (0.590, 0.000, 0.711).


No. 12
SmDy2Cd5: relaxed, GGA-PBE.

The energy of formation comes out at -0.312 eV per atom.

It has space group I4/mmm (No. 139), with a = 5.166 Å, b = 5.166 Å, c = 15.038 Å, α = 90.00°, β = 90.00° and γ = 90.00°. Symmetry generates all atoms from Sm at (0.000, 0.000, 0.000), Dy at (0.000, 0.000, 0.262), Cd at (0.000, 0.000, 0.500) and Cd at (0.000, 0.500, 0.122).